# 1
Material: Cu5Ni4
Method: DFT, PBE-GGA
State: optimized geometry

Results
Formation enthalpy at 0 K: 0.118 eV/atom
Size of the total moment: 1.291 Bohr magnetons per cell
Density: 8.81 Mg/m³
Excess energy over the best structure of this formula in the dataset: 94 meV/atom
Space-group type: P6_3/mcm (193)
Calculated total energy: -4.73 eV/atom

a = 7.0263 Å, b = 7.0263 Å, c = 4.8719 Å
α = 90.00°, β = 90.00°, γ = 120.00°
With the nearest neighbours (Å) after each atom.
Fractional coordinates of all 18 atoms:
Cu: 0.0000 0.3301 0.2500  5 Ni 2.33-2.44
Cu: 0.0000 0.6699 0.7500  5 Ni 2.33-2.44
Cu: 0.3301 0.0000 0.2500  5 Ni 2.33-2.44
Cu: 0.3301 0.3301 0.7500  5 Ni 2.33-2.44
Cu: 0.3333 0.6667 0.0000  8 Cu 2.44-2.65, 6 Ni 2.64
Cu: 0.3333 0.6667 0.5000  8 Cu 2.44-2.65, 6 Ni 2.64
Cu: 0.6667 0.3333 0.0000  8 Cu 2.44-2.65, 6 Ni 2.64
Cu: 0.6667 0.3333 0.5000  8 Cu 2.44-2.65, 6 Ni 2.64
Cu: 0.6699 0.0000 0.7500  5 Ni 2.33-2.44
Cu: 0.6699 0.6699 0.2500  5 Ni 2.33-2.44
Ni: 0.0000 0.0000 0.0000  8 Ni 2.44-2.65, 6 Cu 2.62
Ni: 0.0000 0.0000 0.5000  8 Ni 2.44-2.65, 6 Cu 2.62
Ni: 0.0000 0.3343 0.7500  5 Cu 2.33-2.44
Ni: 0.0000 0.6657 0.2500  5 Cu 2.33-2.44
Ni: 0.3343 0.0000 0.7500  5 Cu 2.33-2.44
Ni: 0.3343 0.3343 0.2500  5 Cu 2.33-2.44
Ni: 0.6657 0.0000 0.2500  5 Cu 2.33-2.44
Ni: 0.6657 0.6657 0.7500  5 Cu 2.33-2.44

---

# 2
Material: CuNi3
Method: DFT, PBE-GGA
State: optimized geometry

Results
Formation enthalpy at 0 K: 0.031 eV/atom
Size of the total moment: 1.734 Bohr magnetons per cell
Density: 8.94 Mg/m³
Space-group type: P-6m2 (187)
Calculated total energy: -5.33 eV/atom

a = 2.4963 Å, b = 2.4963 Å, c = 8.2481 Å
α = 90.00°, β = 90.00°, γ = 120.00°
With the nearest neighbours (Å) after each atom.
Fractional coordinates of all 4 atoms:
Cu: 0.0000 0.0000 0.0000  6 Cu 2.50, 6 Ni 2.55
Ni: 0.0000 0.0000 0.5000  12 Ni 2.49-2.50
Ni: 0.6667 0.3333 0.2544  9 Ni 2.49-2.50, 3 Cu 2.55
Ni: 0.6667 0.3333 0.7456  9 Ni 2.49-2.50, 3 Cu 2.55

---

# 3
Material: CuNi5
Method: DFT, PBE-GGA
State: optimized geometry

Results
Formation enthalpy at 0 K: 0.028 eV/atom
Size of the total moment: 3.090 Bohr magnetons per cell
Density: 8.93 Mg/m³
Excess energy over the best structure of this formula in the dataset: 12 meV/atom
Space-group type: P-6m2 (187)
Calculated total energy: -5.47 eV/atom

a = 2.4938 Å, b = 2.4938 Å, c = 12.3233 Å
α = 90.00°, β = 90.00°, γ = 120.00°
With the nearest neighbours (Å) after each atom.
Fractional coordinates of all 6 atoms:
Cu: 0.0000 0.0000 0.0000  6 Cu 2.49, 6 Ni 2.55
Ni: 0.0000 0.0000 0.3350  12 Ni 2.49
Ni: 0.0000 0.0000 0.6650  12 Ni 2.49
Ni: 0.6667 0.3333 0.1705  9 Ni 2.49, 3 Cu 2.55
Ni: 0.6667 0.3333 0.5000  12 Ni 2.49
Ni: 0.6667 0.3333 0.8295  9 Ni 2.49, 3 Cu 2.55

---

# 4
Material: Cu2Ni
Method: DFT, PBE-GGA
State: optimized geometry

Results
Formation enthalpy at 0 K: 0.019 eV/atom
Size of the total moment: 0.001 Bohr magnetons per cell
Density: 8.94 Mg/m³
Space-group type: C2/m (12)
Calculated total energy: -4.64 eV/atom

a = 4.8808 Å, b = 4.8808 Å, c = 6.0299 Å
α = 105.11°, β = 105.11°, γ = 29.94°
With the nearest neighbours (Å) after each atom.
Fractional coordinates of all 6 atoms:
Cu: 0.0268 0.0268 0.3077  7 Cu 2.50-2.56, 5 Ni 2.52-2.56
Cu: 0.3600 0.3600 0.9717  9 Cu 2.52-2.57, 3 Ni 2.53-2.56
Cu: 0.6400 0.6400 0.0283  9 Cu 2.52-2.57, 3 Ni 2.53-2.56
Cu: 0.9732 0.9732 0.6923  7 Cu 2.50-2.56, 5 Ni 2.52-2.56
Ni: 0.3034 0.3034 0.3645  4 Ni 2.48-2.52, 8 Cu 2.52-2.56
Ni: 0.6966 0.6966 0.6355  4 Ni 2.48-2.52, 8 Cu 2.52-2.56

---

# 5
Material: Cu3Ni11
Method: DFT, PBE-GGA
State: optimized geometry

Results
Formation enthalpy at 0 K: 0.178 eV/atom
Size of the total moment: 5.693 Bohr magnetons per cell
Density: 8.60 Mg/m³
Space-group type: Immm (71)
Calculated total energy: -5.24 eV/atom

a = 6.8799 Å, b = 6.8799 Å, c = 6.8799 Å
α = 145.80°, β = 116.03°, γ = 74.58°
With the nearest neighbours (Å) after each atom.
Fractional coordinates of all 14 atoms:
Cu: 0.0000 0.0000 0.0000  2 Cu 2.36, 12 Ni 2.62-2.64
Cu: 0.3234 0.0000 0.3234  2 Cu 2.36-2.57, 8 Ni 2.40-2.58
Cu: 0.6766 0.0000 0.6766  2 Cu 2.36-2.57, 8 Ni 2.40-2.58
Ni: 0.0558 0.2160 0.8398  9 Ni 2.34-2.54
Ni: 0.0650 0.3967 0.6683  5 Ni 2.26-2.45
Ni: 0.2716 0.6033 0.6683  5 Ni 2.26-2.45
Ni: 0.3060 0.8060 0.5000  2 Cu 2.48, 8 Ni 2.49-2.54
Ni: 0.3763 0.2160 0.1602  9 Ni 2.34-2.54
Ni: 0.5000 0.5000 0.0000  4 Cu 2.40, 4 Ni 2.67
Ni: 0.6237 0.7840 0.8398  9 Ni 2.34-2.54
Ni: 0.6940 0.1940 0.5000  2 Cu 2.48, 8 Ni 2.49-2.54
Ni: 0.7284 0.3967 0.3317  5 Ni 2.26-2.45
Ni: 0.9350 0.6033 0.3317  5 Ni 2.26-2.45
Ni: 0.9442 0.7840 0.1602  9 Ni 2.34-2.54

---

# 6
Material: Cu2Ni5
Method: DFT, PBE-GGA
State: optimized geometry

Results
Formation enthalpy at 0 K: 0.169 eV/atom
Size of the total moment: 2.549 Bohr magnetons per cell
Density: 8.66 Mg/m³
Space-group type: C2/m (12)
Calculated total energy: -5.13 eV/atom

a = 4.4172 Å, b = 4.4172 Å, c = 4.3749 Å
α = 100.72°, β = 100.72°, γ = 99.48°
With the nearest neighbours (Å) after each atom.
Fractional coordinates of all 7 atoms:
Cu: 0.2182 0.2182 0.0891  1 Cu 2.39, 8 Ni 2.42-2.52
Cu: 0.7818 0.7818 0.9109  1 Cu 2.39, 8 Ni 2.42-2.52
Ni: 0.0000 0.0000 0.5000  4 Cu 2.46-2.52, 8 Ni 2.47-2.53
Ni: 0.2202 0.5823 0.7138  6 Ni 2.34-2.53, 3 Cu 2.42-2.50
Ni: 0.4177 0.7798 0.2862  6 Ni 2.34-2.53, 3 Cu 2.42-2.50
Ni: 0.5823 0.2202 0.7138  6 Ni 2.34-2.53, 3 Cu 2.42-2.50
Ni: 0.7798 0.4177 0.2862  6 Ni 2.34-2.53, 3 Cu 2.42-2.50